An optimized crystal structure of Pm2Ho3Bi2, computed with PBE. Values from VASP.

Calculated values
Electronic total energy = -4.90 eV/atom
Magnetic moment = 0.00 μB per formula unit
Mass density = 9.02 g cm⁻³

Quantum ESPRESSO input file:
```
&SYSTEM
  ibrav = 0, nat = 7, ntyp = 3
/
ATOMIC_SPECIES
Pm 145.00 Pm.upf
Ho 164.93 Ho.upf
Bi 208.98 Bi.upf
CELL_PARAMETERS angstrom
4.352 0.000 0.000
-2.176 6.166 -0.030
0.000 -2.853 8.269
ATOMIC_POSITIONS crystal
Pm 0.873 0.745 0.219
Pm 0.127 0.255 0.781
Ho 0.500 0.000 0.000
Ho 0.624 0.249 0.447
Ho 0.376 0.751 0.553
Bi 0.828 0.656 0.803
Bi 0.172 0.344 0.197
```